Entry 1:
Computed, not measured: crystalline Sr3Li3In8 at its relaxed geometry at the PBE level of DFT.

a b c (Å): 9.2696 9.2696 9.2696
angles (deg): 149.52 107.71 80.44
Closest atoms and distances in Å follow each position.
Atoms (fractional coordinates):
Sr  0.0000  0.0000  0.0000  12 In 3.63-3.64
Sr  0.2974  0.2974  0.0000  8 In 3.48-3.53, 4 Li 3.58-3.76
Sr  0.7026  0.7026  0.0000  8 In 3.48-3.53, 4 Li 3.58-3.76
Li  0.3035  0.5000  0.8035  6 In 2.88-3.03
Li  0.5000  0.0000  0.5000  4 In 2.94, 4 Li 3.25
Li  0.6965  0.5000  0.1965  6 In 2.88-3.03
In  0.0201  0.6582  0.3618  1 Li 2.88, 4 In 2.97-3.14
In  0.1607  0.8728  0.2879  3 Li 2.94-3.03, 3 In 2.97-3.14
In  0.2964  0.6582  0.6382  1 Li 2.88, 4 In 2.97-3.14
In  0.4151  0.1272  0.2879  3 Li 2.94-3.03, 3 In 2.97-3.14
In  0.5849  0.8728  0.7121  3 Li 2.94-3.03, 3 In 2.97-3.14
In  0.7036  0.3418  0.3618  1 Li 2.88, 4 In 2.97-3.14
In  0.8393  0.1272  0.7121  3 Li 2.94-3.03, 3 In 2.97-3.14
In  0.9799  0.3418  0.6382  1 Li 2.88, 4 In 2.97-3.14

Results
The size of the total moment comes out at 0.0 μB/f.u. The energy comes out at -2.706 eV per atom. For the calculated formation energy, the calculation gives -370 meV per atom. For the calculated volume, the calculation gives 377.2 Å³ per cell.

=====

Entry 2:
Computed, not measured: crystalline SrLi4In2 at its relaxed geometry at the PBE level of DFT.

a b c (Å): 4.0799 4.0799 10.2321
angles (deg): 90.00 90.00 90.00
Closest atoms and distances in Å follow each position.
Atoms (fractional coordinates):
Sr  0.0000  0.0000  0.0000  4 In 3.51, 4 Li 3.57
Li  0.0000  0.0000  0.5000  8 Li 2.88-2.99, 4 In 3.04
Li  0.0000  0.5000  0.2867  4 In 2.89, 4 Li 2.99
Li  0.5000  0.0000  0.7133  4 In 2.89, 4 Li 2.99
Li  0.5000  0.5000  0.5000  8 Li 2.88-2.99, 4 In 3.04
In  0.0000  0.5000  0.7205  8 Li 2.89-3.04
In  0.5000  0.0000  0.2795  8 Li 2.89-3.04

Results
The size of the total moment comes out at 0.0 μB/f.u. The energy comes out at -2.302 eV per atom. For the calculated formation energy, the calculation gives -185 meV per atom. For the calculated volume, the calculation gives 170.3 Å³ per cell.

=====

Entry 3:
Computed, not measured: crystalline SrLi3In at its relaxed geometry at the PBE level of DFT.

a b c (Å): 5.2132 5.2132 5.2132
angles (deg): 90.00 90.00 90.00
Closest atoms and distances in Å follow each position.
Atoms (fractional coordinates):
Sr  0.0000  0.0000  0.0000  12 Li 3.69
Li  0.0000  0.5000  0.5000  2 In 2.61
Li  0.5000  0.0000  0.5000  2 In 2.61
Li  0.5000  0.5000  0.0000  2 In 2.61
In  0.5000  0.5000  0.5000  6 Li 2.61

Results
The size of the total moment comes out at 0.0 μB/f.u. The energy comes out at -2.104 eV per atom. For the calculated formation energy, the calculation gives -72 meV per atom. The value obtained for the excess energy over the best structure of this formula in the dataset is 85.5 meV per atom. For the calculated volume, the calculation gives 141.7 Å³ per cell.

=====

Entry 4:
Computed, not measured: crystalline SrLi10In at its relaxed geometry at the PBE level of DFT.

a b c (Å): 4.7858 5.6982 9.9575
angles (deg): 90.00 90.00 90.00
Closest atoms and distances in Å follow each position.
Atoms (fractional coordinates):
Sr  0.0000  0.0000  0.0000  10 Li 3.49-3.72
Li  0.0000  0.0000  0.3574  7 Li 2.78-2.93
Li  0.0000  0.0000  0.6426  7 Li 2.78-2.93
Li  0.0000  0.5000  0.2028  6 Li 2.85-3.13, 1 In 2.96
Li  0.0000  0.5000  0.7972  6 Li 2.85-3.13, 1 In 2.96
Li  0.5000  0.0000  0.5000  8 Li 2.65-2.78
Li  0.5000  0.2673  0.2823  6 Li 2.65-2.93
Li  0.5000  0.2673  0.7177  6 Li 2.65-2.93
Li  0.5000  0.5000  0.0000  8 Li 3.11-3.13
Li  0.5000  0.7327  0.2823  6 Li 2.65-2.93
Li  0.5000  0.7327  0.7177  6 Li 2.65-2.93
In  0.0000  0.5000  0.5000  6 Li 2.96-3.18

Results
The size of the total moment comes out at 0.0 μB/f.u. The energy comes out at -1.957 eV per atom. For the calculated formation energy, the calculation gives 6 meV per atom. For the calculated volume, the calculation gives 271.5 Å³ per cell.

=====

Entry 5:
Computed, not measured: crystalline SrLi2In at its relaxed geometry at the PBE level of DFT.

a b c (Å): 3.8646 3.8646 7.3037
angles (deg): 90.00 90.00 90.00
Closest atoms and distances in Å follow each position.
Atoms (fractional coordinates):
Sr  0.0000  0.0000  0.0000  8 Li 3.58, 2 In 3.65, 4 Sr 3.86
Li  0.5000  0.5000  0.3162  1 Li 2.68
Li  0.5000  0.5000  0.6838  1 Li 2.68
In  0.0000  0.0000  0.5000  8 Li 3.04

Results
The size of the total moment comes out at 0.0 μB/f.u. The energy comes out at -2.180 eV per atom. For the calculated formation energy, the calculation gives -118 meV per atom. For the calculated volume, the calculation gives 109.1 Å³ per cell.

=====

Entry 6:
Computed, not measured: crystalline SrLiIn2 at its relaxed geometry at the PBE level of DFT.

a b c (Å): 10.5923 10.5923 10.5923
angles (deg): 151.74 151.74 40.40
Closest atoms and distances in Å follow each position.
Atoms (fractional coordinates):
Sr  0.0000  0.0000  0.0000  4 In 3.45, 4 Li 3.66
Sr  0.7500  0.2500  0.5000  4 In 3.45, 4 Li 3.66
Li  0.2500  0.7500  0.5000  4 In 2.86
Li  0.5000  0.5000  0.0000  4 In 2.86
In  0.2653  0.6250  0.1403  2 In 2.82, 2 Li 2.86
In  0.3750  0.5153  0.6403  2 In 2.82, 2 Li 2.86
In  0.4847  0.1250  0.8597  2 In 2.82, 2 Li 2.86
In  0.8750  0.7347  0.3597  2 In 2.82, 2 Li 2.86

Results
The size of the total moment comes out at 0.0 μB/f.u. The energy comes out at -2.378 eV per atom. For the calculated formation energy, the calculation gives -110 meV per atom. For the calculated volume, the calculation gives 265.9 Å³ per cell.

=====

Entry 7:
Computed, not measured: crystalline SrLi2In at its relaxed geometry at the PBE level of DFT.

a b c (Å): 3.7945 3.7945 7.7616
angles (deg): 90.00 90.00 90.00
Closest atoms and distances in Å follow each position.
Atoms (fractional coordinates):
Sr  0.0000  0.0000  0.0000  4 In 3.50, 5 Li 3.68-3.73, 4 Sr 3.79
Li  0.0000  0.0000  0.4739  4 In 3.04, 4 Li 3.07
Li  0.5000  0.5000  0.6664  1 In 2.92, 4 Li 3.07
In  0.5000  0.5000  0.2901  5 Li 2.92-3.04

Results
The size of the total moment comes out at 0.0 μB/f.u. The energy comes out at -2.212 eV per atom. For the calculated formation energy, the calculation gives -150 meV per atom. For the calculated volume, the calculation gives 111.8 Å³ per cell.

=====

Entry 8:
Computed, not measured: crystalline SrLiIn4 at its relaxed geometry at the PBE level of DFT.

a b c (Å): 6.1954 6.1954 6.1954
angles (deg): 60.00 60.00 60.00
Closest atoms and distances in Å follow each position.
Atoms (fractional coordinates):
Sr  0.0000  0.0000  0.0000  12 In 3.63, 4 Li 3.79
Li  0.2500  0.2500  0.2500  12 In 3.63, 4 Sr 3.79
In  0.1256  0.6248  0.6248  6 In 3.09-3.10
In  0.6248  0.1256  0.6248  6 In 3.09-3.10
In  0.6248  0.6248  0.1256  6 In 3.09-3.10
In  0.6248  0.6248  0.6248  6 In 3.09-3.10

Results
The size of the total moment comes out at 0.0 μB/f.u. The energy comes out at -2.633 eV per atom. For the calculated formation energy, the calculation gives -209 meV per atom. The value obtained for the excess energy over the best structure of this formula in the dataset is 93.5 meV per atom. For the calculated volume, the calculation gives 168.1 Å³ per cell.

=====

Entry 9:
Computed, not measured: crystalline Sr3Li8In at its relaxed geometry at the PBE level of DFT.

a b c (Å): 10.9955 10.9955 10.9955
angles (deg): 31.87 31.87 31.87
Closest atoms and distances in Å follow each position.
Atoms (fractional coordinates):
Sr  0.0000  0.0000  0.0000  12 Li 3.37-3.64, 3 In 3.62
Sr  0.1299  0.1299  0.1299  12 Li 3.58-3.89, 3 Sr 3.94
Sr  0.5220  0.5220  0.5220  9 Li 3.44-3.63, 1 In 3.56
Li  0.0561  0.5691  0.5691  5 Li 2.94-3.10
Li  0.0778  0.0778  0.5693  6 Li 2.94-3.21
Li  0.0778  0.5693  0.0778  6 Li 2.94-3.21
Li  0.3181  0.3181  0.3181  6 Li 2.94-3.08
Li  0.5691  0.0561  0.5691  5 Li 2.94-3.10
Li  0.5693  0.0778  0.0778  6 Li 2.94-3.21
Li  0.5691  0.5691  0.0561  5 Li 2.94-3.10
Li  0.8227  0.8227  0.8227  6 Li 3.21-3.32, 3 Sr 3.58
In  0.6358  0.6358  0.6358  12 Li 3.44-3.57, 4 Sr 3.56-3.62

Results
The size of the total moment comes out at 0.0 μB/f.u. The energy comes out at -1.977 eV per atom. For the calculated formation energy, the calculation gives -52 meV per atom. For the calculated volume, the calculation gives 329.2 Å³ per cell.

=====

Entry 10:
Computed, not measured: crystalline Sr2LiIn5 at its relaxed geometry at the PBE level of DFT.

a b c (Å): 9.6166 9.6166 10.3584
angles (deg): 90.00 90.00 150.71
Closest atoms and distances in Å follow each position.
Atoms (fractional coordinates):
Sr  0.0000  0.0000  0.0000  10 In 3.57-3.97, 4 Li 3.68
Sr  0.0000  0.0000  0.5000  10 In 3.57-3.97, 4 Li 3.68
Sr  0.2017  0.7983  0.7500  11 In 3.46-3.79, 2 Li 3.70
Sr  0.7983  0.2017  0.2500  11 In 3.46-3.79, 2 Li 3.70
Li  0.4483  0.5517  0.2500  3 In 2.73-2.76
Li  0.5517  0.4483  0.7500  3 In 2.73-2.76
In  0.1941  0.8059  0.1028  4 In 3.00-3.18
In  0.1941  0.8059  0.3972  4 In 3.00-3.18
In  0.3608  0.6392  0.0350  1 Li 2.76, 3 In 3.00-3.07
In  0.3608  0.6392  0.4650  1 Li 2.76, 3 In 3.00-3.07
In  0.4052  0.5948  0.7500  1 Li 2.73
In  0.5948  0.4052  0.2500  1 Li 2.73
In  0.6392  0.3608  0.5350  1 Li 2.76, 3 In 3.00-3.07
In  0.6392  0.3608  0.9650  1 Li 2.76, 3 In 3.00-3.07
In  0.8059  0.1941  0.6028  4 In 3.00-3.18
In  0.8059  0.1941  0.8972  4 In 3.00-3.18

Results
The size of the total moment comes out at 0.0 μB/f.u. The energy comes out at -2.697 eV per atom. For the calculated formation energy, the calculation gives -325 meV per atom. For the calculated volume, the calculation gives 468.7 Å³ per cell.

=====

Entry 11:
Computed, not measured: crystalline SrLi2In at its relaxed geometry at the PBE level of DFT.

a b c (Å): 10.6387 10.6387 10.6387
angles (deg): 152.99 152.99 38.57
Closest atoms and distances in Å follow each position.
Atoms (fractional coordinates):
Sr  0.0000  0.0000  0.0000  4 In 3.51, 4 Li 3.52
Sr  0.7500  0.2500  0.5000  4 In 3.51, 4 Li 3.52
Li  0.3031  0.6250  0.1781  2 Li 2.59, 2 In 2.82
Li  0.3750  0.5531  0.6781  2 Li 2.59, 2 In 2.82
Li  0.4469  0.1250  0.8219  2 Li 2.59, 2 In 2.82
Li  0.8750  0.6969  0.3219  2 Li 2.59, 2 In 2.82
In  0.2500  0.7500  0.5000  4 Li 2.82
In  0.5000  0.5000  0.0000  4 Li 2.82

Results
The size of the total moment comes out at 0.0 μB/f.u. The energy comes out at -2.112 eV per atom. For the calculated formation energy, the calculation gives -50 meV per atom. For the calculated volume, the calculation gives 247.9 Å³ per cell.

=====

Entry 12:
Computed, not measured: crystalline Sr3Li2In4 at its relaxed geometry at the PBE level of DFT.

a b c (Å): 5.7294 5.7294 9.6701
angles (deg): 97.66 97.66 57.60
Closest atoms and distances in Å follow each position.
Atoms (fractional coordinates):
Sr  0.0000  0.0000  0.0000  8 In 3.39-3.60
Sr  0.3787  0.3787  0.2703  7 In 3.42-3.76, 4 Li 3.45-3.59
Sr  0.6213  0.6213  0.7297  7 In 3.42-3.76, 4 Li 3.45-3.59
Li  0.2746  0.2746  0.6089  2 In 2.82-2.85
Li  0.7254  0.7254  0.3911  2 In 2.82-2.85
In  0.0681  0.0681  0.3764  1 Li 2.82, 1 In 2.93
In  0.3125  0.3125  0.9068  1 Li 2.85
In  0.6875  0.6875  0.0932  1 Li 2.85
In  0.9319  0.9319  0.6236  1 Li 2.82, 1 In 2.93

Results
The size of the total moment comes out at 0.0 μB/f.u. The energy comes out at -2.543 eV per atom. For the calculated formation energy, the calculation gives -340 meV per atom. The value obtained for the excess energy over the best structure of this formula in the dataset is 0.0 meV per atom. For the calculated volume, the calculation gives 264.9 Å³ per cell.